VASP calculation (PBE) on Na10B13C7 after structural relaxation.

Output
The value obtained for the energy of formation is 92 meV/atom. For the density of states at the Fermi level, the calculation gives 9.5 states/eV/cell. The distance to the lowest polymorph of the same formula comes out at 6 meV per atom.

a b c (Å): 11.478 11.478 9.903
angles (deg): 107.54 107.54 14.23
Element x y z (fractional)
1 Na 0.000 0.000 0.000
2 Na 0.100 0.100 0.703
3 Na 0.200 0.200 0.402
4 Na 0.300 0.300 0.099
5 Na 0.400 0.400 0.800
6 Na 0.500 0.500 0.498
7 Na 0.598 0.598 0.203
8 Na 0.700 0.700 0.901
9 Na 0.800 0.800 0.600
10 Na 0.899 0.899 0.301
11 B 0.010 0.010 0.272
12 B 0.082 0.082 0.415
13 B 0.183 0.183 0.117
14 B 0.219 0.219 0.690
15 B 0.317 0.317 0.385
16 B 0.386 0.386 0.522
17 B 0.413 0.413 0.077
18 B 0.519 0.519 0.790
19 B 0.588 0.588 0.929
20 B 0.623 0.623 0.497
21 B 0.777 0.777 0.304
22 B 0.816 0.816 0.883
23 B 0.980 0.980 0.712
24 C 0.119 0.119 0.989
25 C 0.284 0.284 0.820
26 C 0.479 0.479 0.209
27 C 0.686 0.686 0.626
28 C 0.714 0.714 0.178
29 C 0.881 0.881 0.014
30 C 0.917 0.917 0.585